1.
This record from the Alexandria database describes LiScHg3 after structural relaxation. The functional is PBE-GGA.

For the density of states at the Fermi level, the calculation gives 6.8 states/eV/cell. Its uncorrected energy is -21.06 eV/cell. The formation energy comes out at -0.276 eV/atom. For the total magnetization, the calculation gives 0.00 μB/cell.

abc: 8.236 3.360 7.528
angles: 90.00 90.00 90.00
Element x y z (fractional)
1 Li 0.000 0.000 0.000
2 Li 0.500 0.000 0.000
3 Sc 0.250 0.000 0.411
4 Sc 0.750 0.000 0.589
5 Hg 0.065 0.500 0.694
6 Hg 0.250 0.500 0.077
7 Hg 0.435 0.500 0.694
8 Hg 0.565 0.500 0.306
9 Hg 0.750 0.500 0.923
10 Hg 0.935 0.500 0.306

***

2.
This record from the Alexandria database describes LiScHg after structural relaxation. The functional is PBE-GGA.

For the density of states at the Fermi level, the calculation gives 21.1 states/eV/cell. Its uncorrected energy is -34.48 eV/cell. The formation energy comes out at -0.024 eV/atom. For the total magnetization, the calculation gives 3.15 μB/cell.

abc: 6.604 6.604 6.604
angles: 90.00 90.00 90.00
Element x y z (fractional)
1 Li 0.000 0.000 0.000
2 Li 0.000 0.500 0.500
3 Li 0.500 0.000 0.500
4 Li 0.500 0.500 0.000
5 Sc 0.000 0.000 0.500
6 Sc 0.000 0.500 0.000
7 Sc 0.500 0.000 0.000
8 Sc 0.500 0.500 0.500
9 Hg 0.250 0.250 0.750
10 Hg 0.250 0.750 0.250
11 Hg 0.750 0.250 0.250
12 Hg 0.750 0.750 0.750

***

3.
This record from the Alexandria database describes LiScHg2 after structural relaxation. The functional is PBE-GGA.

For the density of states at the Fermi level, the calculation gives 5.3 states/eV/cell. Its uncorrected energy is -19.77 eV/cell. The formation energy comes out at -0.259 eV/atom. For the total magnetization, the calculation gives 0.00 μB/cell.

abc: 3.455 4.874 10.082
angles: 90.00 90.00 90.00
Element x y z (fractional)
1 Li 0.000 0.000 0.000
2 Li 0.500 0.500 0.500
3 Sc 0.000 0.500 0.780
4 Sc 0.500 0.000 0.280
5 Hg 0.000 0.000 0.519
6 Hg 0.000 0.500 0.264
7 Hg 0.500 0.000 0.764
8 Hg 0.500 0.500 0.019

***

4.
This record from the Alexandria database describes Li2ScHg7 after structural relaxation. The functional is PBE-GGA.

For the density of states at the Fermi level, the calculation gives 2.8 states/eV/cell. Its uncorrected energy is -14.12 eV/cell. The formation energy comes out at -0.185 eV/atom. For the total magnetization, the calculation gives 0.00 μB/cell.

abc: 4.857 4.857 11.336
angles: 90.00 90.00 120.00
Element x y z (fractional)
1 Li 0.000 0.000 0.000
2 Li 0.333 0.667 0.580
3 Sc 0.667 0.333 0.378
4 Hg 0.000 0.000 0.234
5 Hg 0.000 0.000 0.502
6 Hg 0.000 0.000 0.767
7 Hg 0.333 0.667 0.317
8 Hg 0.333 0.667 0.917
9 Hg 0.667 0.333 0.093
10 Hg 0.667 0.333 0.645

***

5.
This record from the Alexandria database describes LiSc2Hg after structural relaxation. The functional is PBE-GGA.

For the density of states at the Fermi level, the calculation gives 7.3 states/eV/cell. Its uncorrected energy is -31.41 eV/cell. The formation energy comes out at -0.206 eV/atom. For the total magnetization, the calculation gives 0.00 μB/cell.

abc: 6.783 6.793 3.640
angles: 90.00 90.00 90.00
Element x y z (fractional)
1 Li 0.000 0.000 0.000
2 Li 0.500 0.500 0.000
3 Sc 0.250 0.250 0.500
4 Sc 0.250 0.750 0.500
5 Sc 0.750 0.250 0.500
6 Sc 0.750 0.750 0.500
7 Hg 0.000 0.500 0.000
8 Hg 0.500 0.000 0.000

***

6.
This record from the Alexandria database describes LiSc2Hg after structural relaxation. The functional is PBE-GGA.

For the density of states at the Fermi level, the calculation gives 6.7 states/eV/cell. Its uncorrected energy is -29.86 eV/cell. The formation energy comes out at -0.013 eV/atom. For the total magnetization, the calculation gives 0.00 μB/cell.

abc: 5.757 3.322 9.958
angles: 90.00 101.20 90.00
Element x y z (fractional)
1 Li 0.000 0.000 0.000
2 Li 0.500 0.500 0.000
3 Sc 0.080 0.500 0.740
4 Sc 0.253 0.500 0.260
5 Sc 0.580 0.000 0.740
6 Sc 0.753 0.000 0.260
7 Hg 0.167 0.000 0.500
8 Hg 0.667 0.500 0.500

***

7.
This record from the Alexandria database describes LiScHg after structural relaxation. The functional is PBE-GGA.

For the density of states at the Fermi level, the calculation gives 2.7 states/eV/cell. Its uncorrected energy is -8.64 eV/cell. The formation energy comes out at -0.031 eV/atom. For the total magnetization, the calculation gives 0.11 μB/cell.

abc: 4.313 3.297 4.948
angles: 90.00 90.13 90.00
Element x y z (fractional)
1 Li 0.000 0.000 0.000
2 Sc 0.500 0.000 0.500
3 Hg 0.500 0.500 0.000

***

8.
This record from the Alexandria database describes LiSc2Hg after structural relaxation. The functional is PBE-GGA.

For the density of states at the Fermi level, the calculation gives 15.7 states/eV/cell. Its uncorrected energy is -41.54 eV/cell. The formation energy comes out at 0.258 eV/atom. For the total magnetization, the calculation gives 0.88 μB/cell.

abc: 3.199 3.199 33.366
angles: 90.00 90.00 120.00
Element x y z (fractional)
1 Li 0.000 0.000 0.000
2 Li 0.333 0.667 0.667
3 Li 0.667 0.333 0.333
4 Sc 0.000 0.000 0.409
5 Sc 0.000 0.000 0.591
6 Sc 0.333 0.667 0.076
7 Sc 0.333 0.667 0.257
8 Sc 0.667 0.333 0.743
9 Sc 0.667 0.333 0.924
10 Hg 0.000 0.000 0.500
11 Hg 0.333 0.667 0.167
12 Hg 0.667 0.333 0.833

***

9.
This record from the Alexandria database describes LiSc2Hg6 after structural relaxation. The functional is PBE-GGA.

For the density of states at the Fermi level, the calculation gives 3.3 states/eV/cell. Its uncorrected energy is -18.79 eV/cell. The formation energy comes out at -0.267 eV/atom. For the total magnetization, the calculation gives 0.00 μB/cell.

abc: 8.633 8.633 5.166
angles: 98.61 98.61 144.30
Element x y z (fractional)
1 Li 0.000 0.000 0.000
2 Sc 0.167 0.833 0.500
3 Sc 0.833 0.167 0.500
4 Hg 0.168 0.489 0.164
5 Hg 0.323 0.323 0.659
6 Hg 0.489 0.168 0.164
7 Hg 0.511 0.832 0.836
8 Hg 0.677 0.677 0.341
9 Hg 0.832 0.511 0.836

***

10.
This record from the Alexandria database describes Li2Sc2Hg3 after structural relaxation. The functional is PBE-GGA.

For the density of states at the Fermi level, the calculation gives 8.1 states/eV/cell. Its uncorrected energy is -39.41 eV/cell. The formation energy comes out at -0.330 eV/atom. For the total magnetization, the calculation gives 0.00 μB/cell.

abc: 3.594 23.545 3.381
angles: 90.00 90.00 90.00
Element x y z (fractional)
1 Li 0.000 0.209 0.000
2 Li 0.000 0.791 0.000
3 Li 0.500 0.291 0.000
4 Li 0.500 0.709 0.000
5 Sc 0.000 0.076 0.000
6 Sc 0.000 0.924 0.000
7 Sc 0.500 0.424 0.000
8 Sc 0.500 0.576 0.000
9 Hg 0.000 0.348 0.500
10 Hg 0.000 0.500 0.500
11 Hg 0.000 0.652 0.500
12 Hg 0.500 0.000 0.500
13 Hg 0.500 0.152 0.500
14 Hg 0.500 0.848 0.500

***

11.
This record from the Alexandria database describes LiScHg after structural relaxation. The functional is PBE-GGA.

For the density of states at the Fermi level, the calculation gives 2.8 states/eV/cell. Its uncorrected energy is -8.75 eV/cell. The formation energy comes out at -0.069 eV/atom. For the total magnetization, the calculation gives 0.17 μB/cell.

abc: 3.348 3.348 6.900
angles: 90.00 90.00 120.00
Element x y z (fractional)
1 Li 0.000 0.000 0.000
2 Sc 0.333 0.667 0.367
3 Hg 0.667 0.333 0.702

***

12.
This record from the Alexandria database describes LiScHg2 after structural relaxation. The functional is PBE-GGA.

For the density of states at the Fermi level, the calculation gives 10.5 states/eV/cell. Its uncorrected energy is -37.29 eV/cell. The formation energy comes out at -0.119 eV/atom. For the total magnetization, the calculation gives 0.00 μB/cell.

abc: 7.467 7.467 6.364
angles: 90.00 90.00 90.00
Element x y z (fractional)
1 Li 0.000 0.000 0.000
2 Li 0.000 0.500 0.250
3 Li 0.500 0.000 0.750
4 Li 0.500 0.500 0.500
5 Sc 0.000 0.000 0.500
6 Sc 0.000 0.500 0.750
7 Sc 0.500 0.000 0.250
8 Sc 0.500 0.500 0.000
9 Hg 0.218 0.250 0.125
10 Hg 0.250 0.718 0.375
11 Hg 0.250 0.782 0.875
12 Hg 0.282 0.250 0.625
13 Hg 0.718 0.750 0.625
14 Hg 0.750 0.218 0.875
15 Hg 0.750 0.282 0.375
16 Hg 0.782 0.750 0.125

***

> Number 5 is which compound?

LiSc2Hg